The following is a GGA+U calculation of a geometry-optimized PmMo3O12 structure, from Alexandria. Values from VASP.

Calculated values
Size of the total moment   0.19 μB per atom
Total energy   -218.892 eV for the cell shown

Structure (Quantum ESPRESSO input):
```
&SYSTEM
  ibrav = 0, nat = 32, ntyp = 3
/
ATOMIC_SPECIES
Pm 145.00 Pm.upf
Mo 95.94 Mo.upf
O 16.00 O.upf
ATOMIC_POSITIONS crystal
Pm 0.3333 0.6667 0.2500
Pm 0.6667 0.3333 0.7500
Mo 0.0886 0.3951 0.7500
Mo 0.3065 0.9114 0.7500
Mo 0.3951 0.3065 0.2500
Mo 0.6049 0.6935 0.7500
Mo 0.6935 0.0886 0.2500
Mo 0.9114 0.6049 0.2500
O 0.1011 0.6578 0.2500
O 0.1119 0.2458 0.7500
O 0.1339 0.8881 0.7500
O 0.1730 0.5001 0.5163
O 0.1730 0.5001 0.9837
O 0.2458 0.1339 0.2500
O 0.3272 0.8270 0.5163
O 0.3272 0.8270 0.9837
O 0.3422 0.4434 0.2500
O 0.4434 0.1011 0.7500
O 0.5001 0.3272 0.0163
O 0.5001 0.3272 0.4837
O 0.4999 0.6728 0.5163
O 0.4999 0.6728 0.9837
O 0.5566 0.8989 0.2500
O 0.6578 0.5566 0.7500
O 0.6728 0.1730 0.0163
O 0.6728 0.1730 0.4837
O 0.7542 0.8661 0.7500
O 0.8270 0.4999 0.0163
O 0.8270 0.4999 0.4837
O 0.8661 0.1119 0.2500
O 0.8881 0.7542 0.2500
O 0.8989 0.3422 0.7500
CELL_PARAMETERS angstrom
10.7876 0.0000 0.0000
-5.3938 9.3424 0.0000
0.0000 0.0000 6.3292
```